Entry A
Computed, not measured: crystalline La2ScRe at its relaxed geometry at the PBE level of DFT.

```
8
Lattice="3.600 0.000 0.000 0.000 5.385 0.000 0.000 0.000 11.224" Properties=species:S:1:pos:R:3 pbc="T T T"
La 0.000 0.000 0.000
La 0.000 2.692 2.214
La 1.800 0.000 7.826
La 1.800 2.692 5.612
Sc 0.000 0.000 4.366
Sc 1.800 2.692 9.978
Re 0.000 2.692 7.966
Re 1.800 0.000 2.354
```

Values from the calculation:
Calculated volume, Å³ per atom: 27.20
Total magnetization, μB/cell: 0.00
Density, g/cm³: 7.769
Space group: Imm2

=====

Entry B
Computed, not measured: crystalline La2ScRe at its relaxed geometry at the PBE level of DFT.

```
16
Lattice="7.389 0.000 0.000 0.000 7.389 0.000 0.000 0.000 7.389" Properties=species:S:1:pos:R:3 pbc="T T T"
La 1.847 1.847 1.847
La 1.847 1.847 5.542
La 1.847 5.542 1.847
La 1.847 5.542 5.542
La 5.542 1.847 1.847
La 5.542 1.847 5.542
La 5.542 5.542 1.847
La 5.542 5.542 5.542
Sc 0.000 0.000 0.000
Sc 0.000 3.695 3.695
Sc 3.695 0.000 3.695
Sc 3.695 3.695 0.000
Re 0.000 0.000 3.695
Re 0.000 3.695 0.000
Re 3.695 0.000 0.000
Re 3.695 3.695 3.695
```

Values from the calculation:
Calculated volume, Å³ per atom: 25.22
Total magnetization, μB/cell: 0.00
Density, g/cm³: 8.379
Space group: Fm-3m

=====

Which structure wins on stability? entry A wins.

=====

Entry A
Computed, not measured: crystalline La2ScRe at its relaxed geometry at the PBE level of DFT.

```
4
Lattice="3.631 0.000 0.000 0.000 4.475 0.000 -1.182 0.000 6.387" Properties=species:S:1:pos:R:3 pbc="T T T"
La 0.066 0.000 1.768
La 2.383 0.000 4.619
Sc 1.816 2.238 0.000
Re 1.225 2.238 3.193
```

Values from the calculation:
Calculated volume, Å³ per atom: 25.95
Total magnetization, μB/cell: 0.00
Density, g/cm³: 8.143
Space group: P2/m

=====

Entry B
Computed, not measured: crystalline La2ScRe at its relaxed geometry at the PBE level of DFT.

```
8
Lattice="6.313 0.000 0.000 0.000 10.516 0.000 -1.416 0.000 2.873" Properties=species:S:1:pos:R:3 pbc="T T T"
La 1.578 2.629 0.000
La 1.578 7.887 0.000
La 4.735 2.629 0.000
La 4.735 7.887 0.000
Sc -0.708 0.000 1.436
Sc 2.448 5.258 1.436
Re -0.708 5.258 1.436
Re 2.448 0.000 1.436
```

Values from the calculation:
Calculated volume, Å³ per atom: 23.84
Total magnetization, μB/cell: 0.00
Density, g/cm³: 8.863
Space group: C2/m

=====

Entry C
Computed, not measured: crystalline La2ScRe at its relaxed geometry at the PBE level of DFT.

```
16
Lattice="7.264 0.000 0.000 0.000 7.264 0.000 0.000 0.000 7.264" Properties=species:S:1:pos:R:3 pbc="T T T"
La 0.000 0.000 0.000
La 0.000 3.632 3.632
La 1.816 1.816 1.816
La 1.816 5.448 5.448
La 3.632 0.000 3.632
La 3.632 3.632 0.000
La 5.448 1.816 5.448
La 5.448 5.448 1.816
Sc 0.000 0.000 3.632
Sc 0.000 3.632 0.000
Sc 3.632 0.000 0.000
Sc 3.632 3.632 3.632
Re 1.816 1.816 5.448
Re 1.816 5.448 1.816
Re 5.448 1.816 1.816
Re 5.448 5.448 5.448
```

Values from the calculation:
Calculated volume, Å³ per atom: 23.95
Total magnetization, μB/cell: 0.01
Density, g/cm³: 8.821
Space group: F-43m

=====

Entry D
Computed, not measured: crystalline La2ScRe at its relaxed geometry at the PBE level of DFT.

```
4
Lattice="3.603 0.000 0.000 0.000 3.603 0.000 0.000 0.000 8.076" Properties=species:S:1:pos:R:3 pbc="T T T"
La 0.000 0.000 1.730
La 0.000 0.000 6.346
Sc 1.802 1.802 4.038
Re 1.802 1.802 0.000
```

Values from the calculation:
Calculated volume, Å³ per atom: 26.22
Total magnetization, μB/cell: 0.00
Density, g/cm³: 8.059
Space group: P4/mmm

=====

Which structure wins on stability? entry D wins.

=====

Entry A
Computed, not measured: crystalline La2ScRe at its relaxed geometry at the PBE level of DFT.

```
12
Lattice="3.510 0.000 0.000 -1.755 3.040 0.000 0.000 0.000 29.651" Properties=species:S:1:pos:R:3 pbc="T T T"
La 0.000 0.000 7.114
La 0.000 0.000 22.537
La 0.000 2.026 12.653
La 0.000 2.026 26.881
La 1.755 1.013 2.770
La 1.755 1.013 16.998
Sc 0.000 0.000 0.000
Sc 0.000 2.026 19.767
Sc 1.755 1.013 9.884
Re 0.000 0.000 14.825
Re 0.000 2.026 4.942
Re 1.755 1.013 24.709
```

Values from the calculation:
Calculated volume, Å³ per atom: 26.36
Total magnetization, μB/cell: 0.00
Density, g/cm³: 8.016
Space group: R-3m

=====

Entry B
Computed, not measured: crystalline La2ScRe at its relaxed geometry at the PBE level of DFT.

```
12
Lattice="3.428 0.000 0.000 -1.714 2.969 0.000 0.000 0.000 30.857" Properties=species:S:1:pos:R:3 pbc="T T T"
La 0.000 0.000 0.000
La 0.000 0.000 7.149
La 0.000 1.979 20.571
La 0.000 1.979 27.720
La 1.714 0.990 10.286
La 1.714 0.990 17.434
Sc 0.000 0.000 14.390
Sc 0.000 1.979 4.104
Sc 1.714 0.990 24.675
Re 0.000 0.000 22.782
Re 0.000 1.979 12.497
Re 1.714 0.990 2.211
```

Values from the calculation:
Calculated volume, Å³ per atom: 26.17
Total magnetization, μB/cell: 0.00
Density, g/cm³: 8.073
Space group: R3m

=====

Entry C
Computed, not measured: crystalline La2ScRe at its relaxed geometry at the PBE level of DFT.

```
4
Lattice="3.417 0.000 0.000 0.000 3.470 0.000 -0.752 0.000 9.092" Properties=species:S:1:pos:R:3 pbc="T T T"
La 0.000 0.000 0.000
La 1.194 1.735 5.960
Sc 2.941 0.000 3.301
Re 1.305 1.735 1.860
```

Values from the calculation:
Calculated volume, Å³ per atom: 26.96
Total magnetization, μB/cell: 0.00
Density, g/cm³: 7.838
Space group: Pm

=====

Entry D
Computed, not measured: crystalline La2ScRe at its relaxed geometry at the PBE level of DFT.

```
8
Lattice="3.546 0.000 0.000 0.000 5.063 0.000 0.000 0.000 11.646" Properties=species:S:1:pos:R:3 pbc="T T T"
La 0.000 0.000 2.273
La 0.000 0.000 9.373
La 1.773 2.532 3.550
La 1.773 2.532 8.096
Sc 0.000 2.532 0.000
Sc 1.773 0.000 5.823
Re 0.000 2.532 5.823
Re 1.773 0.000 0.000
```

Values from the calculation:
Calculated volume, Å³ per atom: 26.13
Total magnetization, μB/cell: 0.00
Density, g/cm³: 8.085
Space group: Immm

=====

Which structure wins on stability? entry C wins.

=====

Entry A
Computed, not measured: crystalline LaScRe2 at its relaxed geometry at the PBE level of DFT.

```
8
Lattice="3.268 0.000 0.000 0.000 5.026 0.000 0.000 0.000 10.270" Properties=species:S:1:pos:R:3 pbc="T T T"
La 0.000 0.000 0.000
La 1.634 2.513 5.135
Sc 0.000 2.513 8.058
Sc 1.634 0.000 2.923
Re 0.000 0.000 5.655
Re 0.000 2.513 2.400
Re 1.634 0.000 7.535
Re 1.634 2.513 0.520
```

Values from the calculation:
Calculated volume, Å³ per atom: 21.09
Total magnetization, μB/cell: 0.00
Density, g/cm³: 10.952
Space group: Imm2

=====

Entry B
Computed, not measured: crystalline LaScRe2 at its relaxed geometry at the PBE level of DFT.

```
4
Lattice="4.780 0.000 0.000 0.000 4.780 0.000 0.000 0.000 3.441" Properties=species:S:1:pos:R:3 pbc="T T T"
La 0.000 0.000 0.000
Sc 2.390 2.390 0.000
Re 0.000 2.390 1.721
Re 2.390 0.000 1.721
```

Values from the calculation:
Calculated volume, Å³ per atom: 19.65
Total magnetization, μB/cell: 0.00
Density, g/cm³: 11.751
Space group: P4/mmm

=====

Entry C
Computed, not measured: crystalline LaScRe2 at its relaxed geometry at the PBE level of DFT.

```
12
Lattice="3.021 0.000 0.000 -1.510 2.616 0.000 0.000 0.000 30.847" Properties=species:S:1:pos:R:3 pbc="T T T"
La 0.000 0.000 0.000
La 0.000 1.744 20.565
La 1.510 0.872 10.282
Sc 0.000 0.000 6.991
Sc 0.000 1.744 27.556
Sc 1.510 0.872 17.274
Re 0.000 0.000 15.006
Re 0.000 0.000 23.278
Re 0.000 1.744 4.724
Re 0.000 1.744 12.995
Re 1.510 0.872 2.713
Re 1.510 0.872 25.289
```

Values from the calculation:
Calculated volume, Å³ per atom: 20.31
Total magnetization, μB/cell: 0.00
Density, g/cm³: 11.369
Space group: R3m

=====

Which structure wins on stability? entry A wins.

=====

Entry A
Computed, not measured: crystalline LaSc2Re at its relaxed geometry at the PBE level of DFT.

```
8
Lattice="6.144 0.000 0.000 0.000 7.874 0.000 0.000 0.000 3.573" Properties=species:S:1:pos:R:3 pbc="T T T"
La 0.000 0.000 0.000
La 3.072 3.937 0.000
Sc 1.536 1.969 1.787
Sc 1.536 5.906 1.787
Sc 4.608 1.969 1.787
Sc 4.608 5.906 1.787
Re 0.000 3.937 0.000
Re 3.072 0.000 0.000
```

Values from the calculation:
Calculated volume, Å³ per atom: 21.61
Total magnetization, μB/cell: 0.00
Density, g/cm³: 7.972
Space group: Cmmm

=====

Entry B
Computed, not measured: crystalline LaSc2Re at its relaxed geometry at the PBE level of DFT.

```
8
Lattice="3.479 0.000 0.000 0.000 5.211 0.000 0.000 0.000 10.278" Properties=species:S:1:pos:R:3 pbc="T T T"
La 0.000 0.000 0.000
La 1.739 2.605 0.000
Sc 0.000 2.605 3.157
Sc 0.000 2.605 7.121
Sc 1.739 0.000 3.157
Sc 1.739 0.000 7.121
Re 0.000 0.000 5.139
Re 1.739 2.605 5.139
```

Values from the calculation:
Calculated volume, Å³ per atom: 23.29
Total magnetization, μB/cell: 0.00
Density, g/cm³: 7.398
Space group: Cmmm

=====

Which structure wins on stability? entry B wins.

=====

Entry A
Computed, not measured: crystalline LaSc2Re at its relaxed geometry at the PBE level of DFT.

```
4
Lattice="4.297 0.000 0.000 0.000 4.297 0.000 0.000 0.000 4.839" Properties=species:S:1:pos:R:3 pbc="T T T"
La 0.000 0.000 0.000
Sc 0.000 2.149 2.420
Sc 2.149 0.000 2.420
Re 2.149 2.149 0.000
```

Values from the calculation:
Calculated volume, Å³ per atom: 22.34
Total magnetization, μB/cell: 0.01
Density, g/cm³: 7.711
Space group: P4/mmm

=====

Entry B
Computed, not measured: crystalline LaSc2Re at its relaxed geometry at the PBE level of DFT.

```
16
Lattice="7.015 0.000 0.000 0.000 7.015 0.000 0.000 0.000 7.015" Properties=species:S:1:pos:R:3 pbc="T T T"
La 0.000 0.000 0.000
La 0.000 3.508 3.508
La 3.508 0.000 3.508
La 3.508 3.508 0.000
Sc 1.754 1.754 1.754
Sc 1.754 1.754 5.261
Sc 1.754 5.261 1.754
Sc 1.754 5.261 5.261
Sc 5.261 1.754 1.754
Sc 5.261 1.754 5.261
Sc 5.261 5.261 1.754
Sc 5.261 5.261 5.261
Re 0.000 0.000 3.508
Re 0.000 3.508 0.000
Re 3.508 0.000 0.000
Re 3.508 3.508 3.508
```

Values from the calculation:
Calculated volume, Å³ per atom: 21.58
Total magnetization, μB/cell: 0.00
Density, g/cm³: 7.985
Space group: Fm-3m

=====

Which structure wins on stability? entry B wins.